[1]
{
  "formula": "Tb3Tm3Cu2Tc",
  "functional": "PBE",
  "state": "relaxed",
  "spacegroup": "P-62m (189)",
  "density_g_cm3": 9.2,
  "dos_at_fermi_per_ev_cell": 10.241,
  "magmom_total_mub_per_fu": 0.000,
  "formation_energy_ev_per_atom": -0.160,
  "lattice": [[4.711, 0.000, 0.000], [0.000, 7.326, 0.000], [0.000, -3.663, 6.345]],
  "species": ["Tm", "Tm", "Tm", "Cu", "Cu", "Tc", "Tb", "Tb", "Tb"],
  "fractional_positions": [[0.500, 0.000, 0.744], [0.500, 0.256, 0.256], [0.500, 0.744, 0.000], [0.500, 0.333, 0.667], [0.500, 0.667, 0.333], [0.000, 0.000, 0.000], [0.000, 0.598, 0.598], [0.000, 0.000, 0.402], [0.000, 0.402, 0.000]]
}



[2]
{
  "formula": "Fe2OsRh",
  "functional": "PBE",
  "state": "relaxed",
  "spacegroup": "P2/m (10)",
  "density_g_cm3": 12.5,
  "dos_at_fermi_per_ev_cell": 4.756,
  "magmom_total_mub_per_fu": 6.028,
  "formation_energy_ev_per_atom": 0.219,
  "polymorph_energy_kj_per_mol_fu": 53,
  "lattice": [[4.293, 0.000, 0.000], [0.000, 2.615, 0.049], [0.000, 0.269, 4.802]],
  "species": ["Fe", "Fe", "Rh", "Os"],
  "fractional_positions": [[0.000, 0.985, 0.006], [0.000, 0.515, 0.494], [0.500, 0.750, 0.750], [0.500, 0.250, 0.250]]
}



[3]
{
  "formula": "ReGe2",
  "functional": "PBE",
  "state": "relaxed",
  "spacegroup": "C2/m (12)",
  "density_g_cm3": 11.2,
  "dos_at_fermi_per_ev_cell": 2.540,
  "magmom_total_mub_per_fu": 0.000,
  "formation_energy_ev_per_atom": -0.003,
  "polymorph_energy_kj_per_mol_fu": 0,
  "lattice": [[-2.238, -4.180, 1.055], [-1.306, -4.220, -2.021], [4.480, -5.931, 1.434]],
  "species": ["Re", "Re", "Ge", "Ge", "Ge", "Ge"],
  "fractional_positions": [[0.849, 0.849, 0.190], [0.151, 0.151, 0.810], [0.852, 0.852, 0.539], [0.401, 0.401, 0.885], [0.148, 0.148, 0.461], [0.599, 0.599, 0.115]]
}



[4]
{
  "formula": "Rb2Tl3Pb5",
  "functional": "PBE",
  "state": "relaxed",
  "spacegroup": "Ibam (72)",
  "density_g_cm3": 8.0,
  "dos_at_fermi_per_ev_cell": 9.325,
  "magmom_total_mub_per_fu": 0.000,
  "formation_energy_ev_per_atom": -0.075,
  "lattice": [[-2.221, -6.678, 1.388], [7.446, -7.083, -3.630], [3.645, -3.025, 9.815]],
  "species": ["Rb", "Rb", "Rb", "Rb", "Pb", "Pb", "Pb", "Pb", "Pb", "Pb", "Pb", "Pb", "Pb", "Pb", "Tl", "Tl", "Tl", "Tl", "Tl", "Tl"],
  "fractional_positions": [[0.373, 0.885, 0.369], [0.873, 0.369, 0.885], [0.127, 0.631, 0.115], [0.627, 0.115, 0.631], [0.509, 0.741, 0.741], [0.870, 0.001, 0.259], [0.750, 0.500, 0.500], [0.630, 0.741, 0.999], [0.009, 0.741, 0.741], [0.130, 0.999, 0.741], [0.491, 0.259, 0.259], [0.991, 0.259, 0.259], [0.250, 0.500, 0.500], [0.370, 0.259, 0.001], [0.384, 0.471, 0.761], [0.750, 0.000, 0.000], [0.884, 0.761, 0.471], [0.250, 0.000, 0.000], [0.616, 0.529, 0.239], [0.116, 0.239, 0.529]]
}



[5]
{
  "formula": "Sr3MgSi2O8",
  "functional": "PBE",
  "state": "relaxed",
  "spacegroup": "C2/c (15)",
  "density_g_cm3": 4.2,
  "dos_at_fermi_per_ev_cell": 0.000,
  "magmom_total_mub_per_fu": 0.000,
  "e_form_raw_ev_per_atom": -2.984,
  "polymorph_energy_kj_per_mol_fu": 0,
  "lattice": [[-3.288, -2.588, -3.602], [-1.176, -5.352, 0.674], [-11.307, 3.218, 7.668]],
  "species": ["O", "O", "O", "O", "O", "O", "O", "O", "O", "O", "O", "O", "O", "O", "O", "O", "Sr", "Sr", "Sr", "Sr", "Sr", "Sr", "Si", "Si", "Si", "Si", "Mg", "Mg"],
  "fractional_positions": [[0.848, 0.781, 0.580], [0.781, 0.848, 0.080], [0.844, 0.306, 0.615], [0.370, 0.780, 0.576], [0.252, 0.405, 0.757], [0.630, 0.220, 0.424], [0.694, 0.156, 0.885], [0.152, 0.219, 0.420], [0.306, 0.844, 0.115], [0.156, 0.694, 0.385], [0.219, 0.152, 0.920], [0.780, 0.370, 0.076], [0.748, 0.595, 0.243], [0.405, 0.252, 0.257], [0.220, 0.630, 0.924], [0.595, 0.748, 0.743], [0.057, 0.943, 0.750], [0.310, 0.344, 0.089], [0.656, 0.690, 0.411], [0.690, 0.656, 0.911], [0.344, 0.310, 0.589], [0.943, 0.057, 0.250], [0.353, 0.328, 0.866], [0.647, 0.672, 0.134], [0.328, 0.353, 0.366], [0.672, 0.647, 0.634], [0.000, 0.000, 0.000], [0.000, 0.000, 0.500]]
}



[6]
{
  "formula": "GeIr",
  "functional": "PBE",
  "state": "relaxed",
  "spacegroup": "F-43m (216)",
  "density_g_cm3": 10.4,
  "dos_at_fermi_per_ev_cell": 5.237,
  "magmom_total_mub_per_fu": 0.000,
  "formation_energy_ev_per_atom": 0.165,
  "lattice": [[5.538, 0.000, 0.000], [0.000, 5.538, 0.000], [0.000, 0.000, 5.538]],
  "species": ["Ge", "Ge", "Ge", "Ge", "Ir", "Ir", "Ir", "Ir"],
  "fractional_positions": [[0.750, 0.750, 0.250], [0.250, 0.750, 0.750], [0.250, 0.250, 0.250], [0.750, 0.250, 0.750], [0.500, 0.500, 0.000], [0.000, 0.000, 0.000], [0.500, 0.000, 0.500], [0.000, 0.500, 0.500]]
}